DFT (PBE) results for a relaxed HfZn11Os crystal.

a = 6.8602 Å, b = 6.8602 Å, c = 6.4816 Å
α = 97.79°, β = 97.79°, γ = 135.79°
Sites, in units of the cell vectors:
1 Hf 0.0000 0.0000 0.0000
2 Zn 0.0000 0.5000 0.0000
3 Zn 0.0145 0.6698 0.6482
4 Zn 0.2877 0.5003 0.7898
5 Zn 0.3302 0.9855 0.3518
6 Zn 0.5000 0.0000 0.0000
7 Zn 0.5003 0.2877 0.7898
8 Zn 0.5000 0.5000 0.5000
9 Zn 0.4997 0.7123 0.2102
10 Zn 0.6698 0.0145 0.6482
11 Zn 0.7123 0.4997 0.2102
12 Zn 0.9855 0.3302 0.3518
13 Os 0.0000 0.0000 0.5000

Results
SG: C2/m
Formation energy, eV/atom: -0.03
Raw total energy, eV per cell: -35.63
Mass density, Mg/m³: 9.1

***

DFT (PBE) results for a relaxed Hf2Zn2Os crystal.

a = 6.8665 Å, b = 6.8665 Å, c = 3.5717 Å
α = 90.00°, β = 90.00°, γ = 90.00°
Sites, in units of the cell vectors:
1 Hf 0.1802 0.3198 0.0000
2 Hf 0.3198 0.8198 0.0000
3 Hf 0.6802 0.1802 0.0000
4 Hf 0.8198 0.6802 0.0000
5 Zn 0.1238 0.6238 0.5000
6 Zn 0.3762 0.1238 0.5000
7 Zn 0.6238 0.8762 0.5000
8 Zn 0.8762 0.3762 0.5000
9 Os 0.0000 0.0000 0.5000
10 Os 0.5000 0.5000 0.5000

Results
SG: P4/mbm
Formation energy, eV/atom: -0.18
Raw total energy, eV per cell: -69.20
Mass density, Mg/m³: 13.4

***

DFT (PBE) results for a relaxed HfZn2Os crystal.

a = 4.4370 Å, b = 4.4370 Å, c = 4.4370 Å
α = 60.00°, β = 60.00°, γ = 60.00°
Sites, in units of the cell vectors:
1 Hf 0.0000 0.0000 0.0000
2 Zn 0.2500 0.2500 0.2500
3 Zn 0.7500 0.7500 0.7500
4 Os 0.5000 0.5000 0.5000

Results
Relative energy among the computed polymorphs, meV/atom: 0
SG: Fm-3m
Formation energy, eV/atom: -0.06
Raw total energy, eV per cell: -23.96
Mass density, Mg/m³: 13.4

***

DFT (PBE) results for a relaxed HfZnOs crystal.

a = 7.5876 Å, b = 7.5876 Å, c = 7.5876 Å
α = 156.59°, β = 138.74°, γ = 47.98°
Sites, in units of the cell vectors:
1 Hf 0.1236 0.1236 0.0000
2 Hf 0.8764 0.8764 0.0000
3 Zn 0.3299 0.3299 0.0000
4 Zn 0.6701 0.6701 0.0000
5 Os 0.2696 0.5000 0.7696
6 Os 0.7304 0.5000 0.2304

Results
SG: Immm
Formation energy, eV/atom: 0.01
Raw total energy, eV per cell: -44.87
Mass density, Mg/m³: 12.6

***

DFT (PBE) results for a relaxed Hf4ZnOs crystal.

a = 3.2430 Å, b = 3.2430 Å, c = 11.0170 Å
α = 90.00°, β = 90.00°, γ = 90.00°
Sites, in units of the cell vectors:
1 Hf 0.0000 0.0000 0.1488
2 Hf 0.0000 0.0000 0.8512
3 Hf 0.5000 0.5000 0.3363
4 Hf 0.5000 0.5000 0.6637
5 Zn 0.0000 0.0000 0.5000
6 Os 0.5000 0.5000 0.0000

Results
Relative energy among the computed polymorphs, meV/atom: 0
SG: P4/mmm
Formation energy, eV/atom: -0.30
Raw total energy, eV per cell: -54.14
Mass density, Mg/m³: 13.9

***

DFT (PBE) results for a relaxed HfZn3Os crystal.

a = 5.0055 Å, b = 5.0055 Å, c = 5.0055 Å
α = 90.00°, β = 90.00°, γ = 90.00°
Sites, in units of the cell vectors:
1 Hf 0.0000 0.0000 0.0000
2 Zn 0.0000 0.0000 0.5000
3 Zn 0.0000 0.5000 0.0000
4 Zn 0.5000 0.0000 0.0000
5 Os 0.5000 0.5000 0.5000

Results
Relative energy among the computed polymorphs, meV/atom: 1218
SG: Pm-3m
Formation energy, eV/atom: 2.00
Raw total energy, eV per cell: -15.02
Mass density, Mg/m³: 7.5

***

DFT (PBE) results for a relaxed Hf2ZnOs2 crystal.

a = 7.5166 Å, b = 7.5166 Å, c = 3.2261 Å
α = 90.00°, β = 90.00°, γ = 90.00°
Sites, in units of the cell vectors:
1 Hf 0.1550 0.3450 0.0000
2 Hf 0.3450 0.8450 0.0000
3 Hf 0.6550 0.1550 0.0000
4 Hf 0.8450 0.6550 0.0000
5 Zn 0.0000 0.0000 0.5000
6 Zn 0.5000 0.5000 0.5000
7 Os 0.1433 0.6433 0.5000
8 Os 0.3567 0.1433 0.5000
9 Os 0.6433 0.8567 0.5000
10 Os 0.8567 0.3567 0.5000

Results
SG: P4/mbm
Formation energy, eV/atom: -0.18
Raw total energy, eV per cell: -89.12
Mass density, Mg/m³: 14.6

***

DFT (PBE) results for a relaxed Hf4ZnOs3 crystal.

a = 3.2548 Å, b = 3.2548 Å, c = 13.1668 Å
α = 90.00°, β = 90.00°, γ = 90.00°
Sites, in units of the cell vectors:
1 Hf 0.0000 0.0000 0.1237
2 Hf 0.0000 0.0000 0.3714
3 Hf 0.0000 0.0000 0.6286
4 Hf 0.0000 0.0000 0.8763
5 Zn 0.5000 0.5000 0.5000
6 Os 0.5000 0.5000 0.0000
7 Os 0.5000 0.5000 0.2497
8 Os 0.5000 0.5000 0.7503

Results
SG: P4/mmm
Formation energy, eV/atom: -0.59
Raw total energy, eV per cell: -79.46
Mass density, Mg/m³: 16.1

***

DFT (PBE) results for a relaxed Hf4ZnOs crystal.

a = 4.4972 Å, b = 4.4972 Å, c = 6.4892 Å
α = 90.00°, β = 90.00°, γ = 90.00°
Sites, in units of the cell vectors:
1 Hf 0.0000 0.5000 0.2422
2 Hf 0.0000 0.5000 0.7578
3 Hf 0.5000 0.0000 0.2422
4 Hf 0.5000 0.0000 0.7578
5 Zn 0.0000 0.0000 0.5000
6 Os 0.5000 0.5000 0.0000

Results
Relative energy among the computed polymorphs, meV/atom: 263
SG: P4/mmm
Formation energy, eV/atom: -0.04
Raw total energy, eV per cell: -52.56
Mass density, Mg/m³: 12.3

***

DFT (PBE) results for a relaxed HfZn3Os crystal.

a = 4.6641 Å, b = 4.6641 Å, c = 4.6641 Å
α = 90.00°, β = 90.00°, γ = 90.00°
Sites, in units of the cell vectors:
1 Hf 0.0000 0.0000 0.0000
2 Zn 0.0000 0.5000 0.5000
3 Zn 0.5000 0.0000 0.5000
4 Zn 0.5000 0.5000 0.0000
5 Os 0.5000 0.5000 0.5000

Results
Relative energy among the computed polymorphs, meV/atom: 0
SG: Pm-3m
Formation energy, eV/atom: 0.78
Raw total energy, eV per cell: -21.11
Mass density, Mg/m³: 9.2

***

DFT (PBE) results for a relaxed Hf4Zn3Os crystal.

a = 3.2796 Å, b = 3.2796 Å, c = 13.2441 Å
α = 90.00°, β = 90.00°, γ = 90.00°
Sites, in units of the cell vectors:
1 Hf 0.0000 0.0000 0.1217
2 Hf 0.0000 0.0000 0.3743
3 Hf 0.0000 0.0000 0.6257
4 Hf 0.0000 0.0000 0.8783
5 Zn 0.5000 0.5000 0.2502
6 Zn 0.5000 0.5000 0.5000
7 Zn 0.5000 0.5000 0.7498
8 Os 0.5000 0.5000 0.0000

Results
SG: P4/mmm
Formation energy, eV/atom: -0.32
Raw total energy, eV per cell: -57.46
Mass density, Mg/m³: 12.8

***

DFT (PBE) results for a relaxed Hf6ZnOs crystal.

a = 5.4670 Å, b = 5.4670 Å, c = 5.4670 Å
α = 93.61°, β = 93.61°, γ = 93.61°
Sites, in units of the cell vectors:
1 Hf 0.0159 0.7579 0.5494
2 Hf 0.2421 0.4506 0.9841
3 Hf 0.4506 0.9841 0.2421
4 Hf 0.5494 0.0159 0.7579
5 Hf 0.7579 0.5494 0.0159
6 Hf 0.9841 0.2421 0.4506
7 Zn 0.5000 0.5000 0.5000
8 Os 0.0000 0.0000 0.0000

Results
Relative energy among the computed polymorphs, meV/atom: 89
SG: R-3
Formation energy, eV/atom: -0.11
Raw total energy, eV per cell: -73.14
Mass density, Mg/m³: 13.6

***

DFT (PBE) results for a relaxed Hf5Zn4Os crystal.

a = 3.2839 Å, b = 3.2839 Å, c = 16.5360 Å
α = 90.00°, β = 90.00°, γ = 90.00°
Sites, in units of the cell vectors:
1 Hf 0.0000 0.0000 0.0000
2 Hf 0.0000 0.0000 0.2006
3 Hf 0.0000 0.0000 0.4026
4 Hf 0.0000 0.0000 0.5974
5 Hf 0.0000 0.0000 0.7994
6 Zn 0.5000 0.5000 0.1000
7 Zn 0.5000 0.5000 0.2999
8 Zn 0.5000 0.5000 0.7001
9 Zn 0.5000 0.5000 0.9000
10 Os 0.5000 0.5000 0.5000

Results
SG: P4/mmm
Formation energy, eV/atom: -0.30
Raw total energy, eV per cell: -69.08
Mass density, Mg/m³: 12.5

***

DFT (PBE) results for a relaxed HfZn2Os crystal.

a = 10.0399 Å, b = 10.0399 Å, c = 10.0399 Å
α = 158.16°, β = 158.16°, γ = 31.08°
Sites, in units of the cell vectors:
1 Hf 0.0000 0.0000 0.0000
2 Hf 0.7500 0.2500 0.5000
3 Zn 0.1611 0.6250 0.0361
4 Zn 0.3750 0.4111 0.5361
5 Zn 0.5889 0.1250 0.9639
6 Zn 0.8750 0.8389 0.4639
7 Os 0.2500 0.7500 0.5000
8 Os 0.5000 0.5000 0.0000

Results
Relative energy among the computed polymorphs, meV/atom: 189
SG: I-42d
Formation energy, eV/atom: 0.13
Raw total energy, eV per cell: -46.41
Mass density, Mg/m³: 11.9

***

DFT (PBE) results for a relaxed Hf6ZnOs crystal.

a = 8.2501 Å, b = 8.2501 Å, c = 8.2501 Å
α = 147.70°, β = 147.70°, γ = 46.33°
Sites, in units of the cell vectors:
1 Hf 0.1105 0.6105 0.5000
2 Hf 0.2494 0.2494 0.0000
3 Hf 0.3895 0.8895 0.5000
4 Hf 0.6105 0.1105 0.5000
5 Hf 0.7506 0.7506 0.0000
6 Hf 0.8895 0.3895 0.5000
7 Zn 0.0000 0.0000 0.0000
8 Os 0.5000 0.5000 0.0000

Results
Relative energy among the computed polymorphs, meV/atom: 0
SG: I4/mmm
Formation energy, eV/atom: -0.20
Raw total energy, eV per cell: -73.85
Mass density, Mg/m³: 13.8

***

DFT (PBE) results for a relaxed HfZn4Os crystal.

a = 4.9797 Å, b = 4.9797 Å, c = 4.9797 Å
α = 60.00°, β = 60.00°, γ = 60.00°
Sites, in units of the cell vectors:
1 Hf 0.0000 0.0000 0.0000
2 Zn 0.3754 0.3754 0.3754
3 Zn 0.3754 0.3754 0.8739
4 Zn 0.3754 0.8739 0.3754
5 Zn 0.8739 0.3754 0.3754
6 Os 0.7500 0.7500 0.7500

Results
SG: F-43m
Formation energy, eV/atom: -0.23
Raw total energy, eV per cell: -27.63
Mass density, Mg/m³: 12.0

***

DFT (PBE) results for a relaxed HfZnOs2 crystal.

a = 5.7314 Å, b = 5.7314 Å, c = 5.7314 Å
α = 102.34°, β = 102.34°, γ = 124.94°
Sites, in units of the cell vectors:
1 Hf 0.0000 0.0000 0.0000
2 Hf 0.7500 0.2500 0.5000
3 Zn 0.2500 0.7500 0.5000
4 Zn 0.5000 0.5000 0.0000
5 Os 0.1422 0.1250 0.5172
6 Os 0.3750 0.8578 0.9828
7 Os 0.6078 0.6250 0.4828
8 Os 0.8750 0.3922 0.0172

Results
SG: I-42d
Formation energy, eV/atom: 0.58
Raw total energy, eV per cell: -62.71
Mass density, Mg/m³: 15.2

***

DFT (PBE) results for a relaxed HfZrZnOs crystal.

a = 3.2709 Å, b = 3.2709 Å, c = 6.7135 Å
α = 90.00°, β = 90.00°, γ = 90.00°
Sites, in units of the cell vectors:
1 Hf 0.0000 0.0000 0.0000
2 Zr 0.0000 0.0000 0.5131
3 Zn 0.5000 0.5000 0.2516
4 Os 0.5000 0.5000 0.7655

Results
SG: P4mm
Formation energy, eV/atom: -0.43
Raw total energy, eV per cell: -32.71
Mass density, Mg/m³: 12.1

***

DFT (PBE) results for a relaxed HfZr2Os3 crystal.

a = 3.2645 Å, b = 3.2645 Å, c = 9.8892 Å
α = 90.00°, β = 90.00°, γ = 90.00°
Sites, in units of the cell vectors:
1 Hf 0.0000 0.0000 0.0000
2 Zr 0.0000 0.0000 0.3325
3 Zr 0.0000 0.0000 0.6675
4 Os 0.5000 0.5000 0.1638
5 Os 0.5000 0.5000 0.5000
6 Os 0.5000 0.5000 0.8362

Results
SG: P4/mmm
Formation energy, eV/atom: -0.58
Raw total energy, eV per cell: -64.23
Mass density, Mg/m³: 14.7

***

DFT (PBE) results for a relaxed HfZr2Os crystal.

a = 6.2511 Å, b = 6.2511 Å, c = 6.2511 Å
α = 102.01°, β = 102.01°, γ = 125.72°
Sites, in units of the cell vectors:
1 Hf 0.0000 0.0000 0.0000
2 Hf 0.7500 0.2500 0.5000
3 Zr 0.1766 0.6250 0.0516
4 Zr 0.3750 0.4266 0.5516
5 Zr 0.5734 0.1250 0.9484
6 Zr 0.8750 0.8234 0.4484
7 Os 0.2500 0.7500 0.5000
8 Os 0.5000 0.5000 0.0000

Results
Relative energy among the computed polymorphs, meV/atom: 442
SG: I-42d
Formation energy, eV/atom: 0.16
Raw total energy, eV per cell: -75.31
Mass density, Mg/m³: 10.4